1.
Computed, not measured: crystalline MnZn3 at its relaxed geometry at the PBEsol level of DFT.

Calculated density, g/cm³: 7.84
Magnetic moment, Bohr magnetons per cell: 2.9
Space group: No. 47

a = 2.634 Å, b = 3.750 Å, c = 5.385 Å
α = 90.00°, β = 90.00°, γ = 90.00°
Element x y z (fractional)
Mn 0.000 0.000 0.000
Zn 0.000 0.000 0.500
Zn 0.500 0.500 0.240
Zn 0.500 0.500 0.760

2.
Computed, not measured: crystalline MnZn3 at its relaxed geometry at the PBEsol level of DFT.

Calculated density, g/cm³: 7.80
Magnetic moment, Bohr magnetons per cell: 11.8
Space group: No. 62

a = 4.655 Å, b = 8.639 Å, c = 5.320 Å
α = 90.00°, β = 90.00°, γ = 90.00°
Element x y z (fractional)
Mn 0.071 0.250 0.123
Mn 0.429 0.750 0.623
Mn 0.571 0.250 0.377
Mn 0.929 0.750 0.877
Zn 0.067 0.250 0.617
Zn 0.248 0.504 0.872
Zn 0.248 0.996 0.872
Zn 0.252 0.004 0.372
Zn 0.252 0.496 0.372
Zn 0.433 0.750 0.117
Zn 0.567 0.250 0.883
Zn 0.748 0.504 0.628
Zn 0.748 0.996 0.628
Zn 0.752 0.004 0.128
Zn 0.752 0.496 0.128
Zn 0.933 0.750 0.383

3.
Computed, not measured: crystalline MnZn3 at its relaxed geometry at the PBEsol level of DFT.

Calculated density, g/cm³: 7.91
Magnetic moment, Bohr magnetons per cell: 2.7
Space group: No. 44

a = 5.082 Å, b = 5.082 Å, c = 5.082 Å
α = 150.24°, β = 63.58°, γ = 125.22°
Element x y z (fractional)
Mn 0.000 0.000 0.000
Zn 0.423 0.676 0.747
Zn 0.502 0.002 0.500
Zn 0.930 0.676 0.253

Number 1: electronic total energy -14.2 eV for the cell shown, formation energy 0.08 eV per atom. Number 2: electronic total energy -56.9 eV for the cell shown, formation energy 0.07 eV per atom. Number 3: electronic total energy -14.2 eV for the cell shown, formation energy 0.07 eV per atom.